Record 1
MnCd2Te | Alexandria via LeMat-Bulk | PBE | optimized geometry; DFT total energy = -3.399 eV per atom; density of states at the Fermi level = 2.2 states/eV/f.u.
1.0
-1.565 1.311 -8.357
-1.866 -2.335 -8.067
-4.709 -0.185 -7.197
Cd Mn Te
2 1 1
Direct
0.995 0.995 0.995
0.243 0.243 0.243
0.498 0.498 0.498
0.764 0.764 0.764

---

Record 2
CuNi2Os | Alexandria via LeMat-Bulk | PBE | optimized geometry; calculated formation energy = 0.353 eV/atom; DFT total energy = -6.369 eV per atom; density of states at the Fermi level = 5.8 states/eV/f.u.
1.0
-2.215 -2.300 2.557
1.096 -3.871 0.741
1.516 -1.032 3.656
Cu Ni Os
1 2 1
Direct
0.500 0.500 0.500
0.000 0.000 0.000
0.750 0.750 0.750
0.250 0.250 0.250

---

Record 3
Re2PbCS | Alexandria via LeMat-Bulk | PBE | optimized geometry; DFT total energy = -4.930 eV per atom; density of states at the Fermi level = 5.5 states/eV/f.u.
1.0
-5.140 -0.933 0.769
0.940 -3.764 1.722
0.303 2.256 4.765
Pb Re S C
1 2 1 1
Direct
0.000 0.000 0.000
0.000 0.000 0.500
0.500 0.000 0.000
0.500 0.500 0.500
0.000 0.500 0.000

---

Record 4
Sc3Tc2Ge4 | Alexandria via LeMat-Bulk | PBE | optimized geometry; calculated formation energy = -0.576 eV/atom; DFT total energy = -7.043 eV per atom; density of states at the Fermi level = 5.5 states/eV/f.u.
1.0
4.276 0.000 0.000
-2.138 4.900 -1.766
0.000 -0.455 7.962
Sc Tc Ge
3 2 4
Direct
0.635 0.270 0.693
0.000 0.000 0.000
0.365 0.730 0.307
0.672 0.344 0.350
0.328 0.656 0.650
0.704 0.409 0.067
0.296 0.591 0.933
0.917 0.835 0.595
0.083 0.165 0.405

---

Record 5
BaCa2Ir | Alexandria via LeMat-Bulk | PBE | optimized geometry; calculated formation energy = 0.176 eV/atom; DFT total energy = -3.520 eV per atom; density of states at the Fermi level = 3.7 states/eV/f.u.
1.0
-2.248 -4.237 -1.924
3.331 -0.227 -3.392
2.696 -2.716 2.830
Ca Ir Ba
2 1 1
Direct
0.000 0.000 0.000
0.000 0.500 0.500
0.500 0.500 0.000
0.500 0.000 0.500

---

Record 6
SmErB4 | Alexandria via LeMat-Bulk | PBE | optimized geometry; calculated formation energy = -0.330 eV/atom; DFT total energy = -6.329 eV per atom; density of states at the Fermi level = 2.2 states/eV/f.u.
1.0
3.455 0.000 -1.067
-0.329 3.439 -1.067
0.066 0.072 6.340
Sm Er B
1 1 4
Direct
0.000 0.000 0.000
0.250 0.750 0.500
0.674 0.174 0.348
0.579 0.579 0.159
0.826 0.326 0.652
0.421 0.421 0.841

---

Record 7
LiGdPdPb | Alexandria via LeMat-Bulk | PBE | optimized geometry; calculated formation energy = -0.625 eV/atom; DFT total energy = -6.849 eV per atom; density of states at the Fermi level = 1.3 states/eV/f.u.
1.0
-3.778 2.664 -1.507
-3.961 0.398 2.791
-1.021 4.223 2.183
Pb Gd Pd Li
1 1 1 1
Direct
0.750 0.750 0.750
0.250 0.250 0.250
0.000 0.000 0.000
0.500 0.500 0.500

---

Record 8
KCa2Fe | Alexandria via LeMat-Bulk | PBE | optimized geometry; calculated formation energy = 0.747 eV/atom; DFT total energy = -2.644 eV per atom; density of states at the Fermi level = 5.1 states/eV/f.u.
1.0
6.461 0.115 0.000
2.369 6.012 0.000
-4.415 -3.064 3.589
Ca Fe K
2 1 1
Direct
0.000 0.000 0.000
0.250 0.750 0.500
0.500 0.500 0.000
0.750 0.250 0.500

---

Copy entry 4 word for word.
Sc3Tc2Ge4 | Alexandria via LeMat-Bulk | PBE | optimized geometry; calculated formation energy = -0.576 eV/atom; DFT total energy = -7.043 eV per atom; density of states at the Fermi level = 5.5 states/eV/f.u.
1.0
4.276 0.000 0.000
-2.138 4.900 -1.766
0.000 -0.455 7.962
Sc Tc Ge
3 2 4
Direct
0.635 0.270 0.693
0.000 0.000 0.000
0.365 0.730 0.307
0.672 0.344 0.350
0.328 0.656 0.650
0.704 0.409 0.067
0.296 0.591 0.933
0.917 0.835 0.595
0.083 0.165 0.405

---

- What is the density of states at the Fermi level in the fifth record?
  3.7 states/eV/f.u.

---

- Which formula does entry 5 have?
  BaCa2Ir

---

- DFT total energy of number 4 (Sc3Tc2Ge4)?
  -7.043 eV per atom